Computed, not measured: a relaxed SiSe2 crystal at the PBE level of DFT.

Computed properties:
formation energy (no corrections): -11.5 kJ/mol of atoms
V: 26.227 Å³ per atom

abc: 14.3158 3.4563 6.5497
angles: 90.00 103.80 90.00
With the nearest neighbours (Å) after each atom.
Space group C2/m (No. 12)
Asymmetric unit:
1 Si 0.0491 0.0000 0.1715 [4 per cell]  1 Si 2.35, 4 Se 2.38-2.57
2 Se 0.0506 0.5000 0.6815 [4 per cell]  1 Se 2.47, 2 Si 2.57
3 Se 0.1649 0.5000 0.1916 [4 per cell]  2 Si 2.38

***

Computed, not measured: a relaxed SiSe2 crystal at the PBE level of DFT.

Computed properties:
formation energy (no corrections): -43.6 kJ/mol of atoms
V: 39.258 Å³ per atom

abc: 8.8958 8.8958 5.9531
angles: 90.00 90.00 90.00
With the nearest neighbours (Å) after each atom.
Space group I4/mcm (No. 140)
Asymmetric unit:
1 Si 0.0000 0.5000 0.2500 [4 per cell]  4 Se 2.30
2 Se 0.1397 0.3603 0.0000 [8 per cell]  2 Si 2.30

***

Computed, not measured: a relaxed SiSe3 crystal at the PBE level of DFT.

Computed properties:
formation energy (no corrections): 44.1 kJ/mol of atoms
V: 19.459 Å³ per atom

abc: 3.3107 3.3107 7.1013
angles: 90.00 90.00 90.00
With the nearest neighbours (Å) after each atom.
Space group P4/mmm (No. 123)
Asymmetric unit:
1 Si 0.0000 0.0000 0.0000 [1 per cell]  8 Se 2.78
2 Se 0.0000 0.0000 0.5000 [1 per cell]  12 Se 3.12-3.31
3 Se 0.5000 0.5000 0.2101 [2 per cell]  4 Si 2.78, 1 Se 2.98

***

Mass density? In order: 3.9 2.6 5.7 Mg/m³.